Material: La3DyIr2
Method: DFT, GGA-PBE
State: optimized geometry

- SG: C2/m, No. 12
- DFT total energy: -6.730 eV/atom
- Energy of formation: -0.545 eV/atom

The structure in CIF format:
```
data_La3DyIr2
_chemical_formula_sum 'La3 Dy1 Ir2'
_cell_length_a 4.895
_cell_length_b 4.625
_cell_length_c 8.045
_cell_angle_alpha 106.63
_cell_angle_beta 107.71
_cell_angle_gamma 90.00
_symmetry_space_group_name_H-M 'P 1'
_symmetry_Int_Tables_number 1
_symmetry_space_group_name_Hall 'P 1'
loop_
_atom_site_label
_atom_site_fract_x
_atom_site_fract_y
_atom_site_fract_z
_atom_site_occupancy
La1 0.500 0.500 0.000 1
La2 0.809 0.309 0.619 1
La3 0.191 0.691 0.381 1
Dy1 0.000 0.000 0.000 1
Ir1 0.372 0.873 0.745 1
Ir2 0.628 0.127 0.255 1
```